# Dy12Ni6Pd (PBE, relaxed)
# Mass density: 8.11 g cm⁻³
# DFT total energy: -99.4 eV per formula unit
# Total magnetic moment: 0.0 μB/f.u.
# Calculated volume: 1479 Å³ per cell
# Energy above the most stable polymorph in this dataset: 135 meV per atom
data_Dy12Ni6Pd
_chemical_formula_sum 'Dy36 Ni18 Pd3'
_cell_length_a 12.2619
_cell_length_b 12.2619
_cell_length_c 11.3597
_cell_angle_alpha 90.00
_cell_angle_beta 90.00
_cell_angle_gamma 120.00
_space_group_name_H-M_alt 'R -3'
_space_group_IT_number 148
_space_group_name_Hall '-R 3'
loop_
_atom_site_label
_atom_site_fract_x
_atom_site_fract_y
_atom_site_fract_z
Dy1 0.0247 0.2075 0.3877
Dy2 0.0306 0.2090 0.8804
Ni1 0.0407 0.2606 0.6474
Pd1 0.0000 0.0000 0.0000